## NiGeF3 (GGA+U)

Data for an optimized crystal structure of NiGeF3.

## Properties
ρ: 3.95 Mg/m³
calculated total energy: -17.362 eV for the cell shown
volume: 79.20 Å³/cell

extended XYZ file:
```
5
Lattice="-3.392 0.536 -2.579 -1.712 -3.645 1.494 -2.002 2.207 3.092" Properties=species:S:1:pos:R:3 pbc="T T T"
Ni -3.553 -0.450 1.004
Ge 0.000 0.000 0.000
F -0.856 -1.822 0.747
F -1.001 1.104 1.546
F -1.696 0.268 -1.289
```